(1)
Below is CsBaNa2 after structural relaxation, with properties calculated at the GGA-PBE level.

Output
Electronic total energy ... -0.08581 Ry per atom
Calculated volume ... 999 Å³/cell
Formation enthalpy at 0 K ... 186 meV/atom
Energy above the lowest structure with this stoichiometry ... 158 meV per atom

a = 10.706 Å, b = 10.706 Å, c = 8.711 Å
α = 90.00°, β = 90.00°, γ = 90.00°
Space group I-42d (No. 122)
Asymmetric unit:
Cs (0.000, 0.000, 0.000) (multiplicity 4)
Ba (0.000, 0.000, 0.500) (multiplicity 4)
Na (0.249, 0.250, 0.625) (multiplicity 8)


(2)
Below is Cs3BaNa3 after structural relaxation, with properties calculated at the GGA-PBE level.

Output
Electronic total energy ... -0.06243 Ry per atom
Calculated volume ... 1355 Å³/cell
Formation enthalpy at 0 K ... 356 meV/atom

a = 11.066 Å, b = 11.066 Å, c = 11.066 Å
α = 90.00°, β = 90.00°, γ = 90.00°
Space group Pm-3n (No. 223)
Asymmetric unit:
Cs (0.000, 0.250, 0.500) (multiplicity 6)
Ba (0.000, 0.000, 0.000) (multiplicity 2)
Na (0.000, 0.500, 0.250) (multiplicity 6)